A plane-wave DFT calculation with PBE was carried out for a relaxed structure of TcBi2Pd.

Geometry as extended XYZ:
```
8
Lattice="-3.0862 3.0862 6.2421 3.0862 -3.0862 6.2421 3.0862 3.0862 -6.2421" Properties=species:S:1:pos:R:3 pbc="T T T"
Tc 0.0000 0.0000 0.0000
Tc 0.0000 3.0862 3.1210
Bi 4.6293 1.4880 -1.5605
Bi 1.4880 1.5431 1.5605
Bi -1.5431 1.5983 4.6816
Bi 1.5983 1.5431 7.8026
Pd 3.0862 0.0000 3.1210
Pd 0.0000 0.0000 6.2421
```

Properties
Relative energy among the computed polymorphs ... 305 meV/atom

A plane-wave DFT calculation with PBE was carried out for a relaxed structure of TcBiPd.

Geometry as extended XYZ:
```
6
Lattice="12.8917 0.0000 0.0000 0.0000 1.6185 2.8003 0.0000 -1.6185 2.8003" Properties=species:S:1:pos:R:3 pbc="T T T"
Tc 1.9619 0.0000 0.0000
Tc 10.9297 0.0000 0.0000
Bi 4.0479 0.0000 1.8985
Bi 8.8438 0.0000 1.8985
Pd 0.0000 0.0000 1.8686
Pd 6.4458 0.0000 0.3150
```

Properties
Final energy ... -35.7 eV for the cell shown

A plane-wave DFT calculation with PBE was carried out for a relaxed structure of TcBi3Pd.

Geometry as extended XYZ:
```
5
Lattice="5.2595 0.0000 0.0000 0.0000 5.2595 0.0000 0.0000 0.0000 5.2595" Properties=species:S:1:pos:R:3 pbc="T T T"
Tc 0.0000 0.0000 0.0000
Bi 0.0000 0.0000 2.6297
Bi 0.0000 2.6297 0.0000
Bi 2.6297 0.0000 0.0000
Pd 2.6297 2.6297 2.6297
```

Properties
Relative energy among the computed polymorphs ... 0 meV/atom

A plane-wave DFT calculation with PBE was carried out for a relaxed structure of TcBiPd3.

Geometry as extended XYZ:
```
5
Lattice="4.8209 0.0000 0.0000 0.0000 4.8209 0.0000 0.0000 0.0000 4.8209" Properties=species:S:1:pos:R:3 pbc="T T T"
Tc 0.0000 0.0000 0.0000
Bi 2.4104 2.4104 2.4104
Pd 0.0000 0.0000 2.4104
Pd 0.0000 2.4104 0.0000
Pd 2.4104 0.0000 0.0000
```

Properties
Relative energy among the computed polymorphs ... 0 meV/atom

A plane-wave DFT calculation with PBE was carried out for a relaxed structure of TcBi2Pd.

Geometry as extended XYZ:
```
4
Lattice="0.0000 3.4884 3.4884 3.4884 0.0000 3.4884 3.4884 3.4884 0.0000" Properties=species:S:1:pos:R:3 pbc="T T T"
Tc 0.0000 0.0000 0.0000
Bi 1.7442 1.7442 1.7442
Bi 5.2326 5.2326 5.2326
Pd 3.4884 3.4884 3.4884
```

Properties
Relative energy among the computed polymorphs ... 0 meV/atom

A plane-wave DFT calculation with PBE was carried out for a relaxed structure of Tc3BiPd.

Geometry as extended XYZ:
```
5
Lattice="4.8237 0.0000 0.0000 0.0000 4.8237 0.0000 0.0000 0.0000 4.8237" Properties=species:S:1:pos:R:3 pbc="T T T"
Tc 0.0000 0.0000 2.4118
Tc 0.0000 2.4118 0.0000
Tc 2.4118 0.0000 0.0000
Bi 2.4118 2.4118 2.4118
Pd 0.0000 0.0000 0.0000
```

Properties
Relative energy among the computed polymorphs ... 0 meV/atom

Number 1: theoretical density 8.69 Mg/m³, magnetic moment 0.00 μB/cell, DOS at the Fermi energy 2.88 states/eV/f.u.. Number 2: theoretical density 11.75 Mg/m³, magnetic moment 0.00 μB/cell, DOS at the Fermi energy 2.66 states/eV/f.u.. Number 3: theoretical density 9.49 Mg/m³, magnetic moment 0.00 μB/cell, DOS at the Fermi energy 7.30 states/eV/f.u.. Number 4: theoretical density 9.28 Mg/m³, magnetic moment 0.00 μB/cell, DOS at the Fermi energy 6.67 states/eV/f.u.. Number 5: theoretical density 12.17 Mg/m³, magnetic moment 1.96 μB/cell, DOS at the Fermi energy 2.94 states/eV/f.u.. Number 6: theoretical density 9.02 Mg/m³, magnetic moment 6.75 μB/cell, DOS at the Fermi energy 6.37 states/eV/f.u..